TbEr3Sc2 | GGA-PBE | relaxed

Summary:
- ΔE to the lowest computed polymorph: 15.1 kJ per mole of atoms
- Space group: Cmcm (63)
- E_form: 303 meV/atom

abc: 5.4166 8.5944 8.5944
angles: 111.76 89.98 90.02
Atoms (fractional coordinates):
Tb  0.9930  0.7237  0.7237
Tb  0.4930  0.2763  0.2763
Er  0.9930  0.8896  0.3729
Er  0.4930  0.6271  0.1104
Er  0.9930  0.3729  0.8896
Er  0.4930  0.1104  0.6271
Er  0.4930  0.9059  0.9059
Er  0.9930  0.0941  0.0941
Sc  0.4930  0.7009  0.4872
Sc  0.9930  0.5128  0.2991
Sc  0.4930  0.4872  0.7009
Sc  0.9930  0.2991  0.5128